# 1
## DyTh4Os4 (PBE-GGA)

Data for DyTh4Os4 after structural relaxation.

Cell and atoms, written as extended XYZ:
```
18
Lattice="9.031 0.000 0.000 0.000 9.031 0.000 0.000 0.000 5.678" Properties=species:S:1:pos:R:3 pbc="T T T"
Dy 2.258 2.258 1.420
Dy 6.773 6.773 4.259
Th 0.557 6.000 0.934
Th 1.485 8.474 3.773
Th 3.031 5.073 3.773
Th 3.959 7.547 0.934
Th 5.073 1.485 4.744
Th 6.000 3.959 1.905
Th 7.547 0.557 1.905
Th 8.474 3.031 4.744
Os 0.287 5.633 3.716
Os 1.118 8.744 0.876
Os 3.398 4.803 0.876
Os 4.228 7.914 3.716
Os 4.803 1.118 1.963
Os 5.633 4.228 4.802
Os 7.914 0.287 4.802
Os 8.744 3.398 1.963
```

Calculated values
energy	-162.142	eV per cell
total magnetization	0.00	μB/atom
energy relative to the elements	-0.208	eV per atom
symmetry	P4_2/n

---

# 2
## Hf2CoAu2 (PBE-GGA)

Data for Hf2CoAu2 after structural relaxation.

Cell and atoms, written as extended XYZ:
```
10
Lattice="7.213 0.000 0.000 0.000 7.213 0.000 0.000 0.000 3.627" Properties=species:S:1:pos:R:3 pbc="T T T"
Hf 1.250 2.356 0.000
Hf 2.356 5.963 0.000
Hf 4.857 1.250 0.000
Hf 5.963 4.857 0.000
Co 0.000 0.000 1.814
Co 3.607 3.607 1.814
Au 0.968 4.575 1.814
Au 2.638 0.968 1.814
Au 4.575 6.245 1.814
Au 6.245 2.638 1.814
```

Calculated values
energy	-68.727	eV per cell
total magnetization	0.11	μB/atom
energy relative to the elements	-0.159	eV per atom
symmetry	P4/mbm

---

# 3
## MgTl5I8 (PBE-GGA)

Data for MgTl5I8 after structural relaxation.

Cell and atoms, written as extended XYZ:
```
14
Lattice="-5.114 5.114 5.487 5.114 -5.114 5.487 5.114 5.114 -5.487" Properties=species:S:1:pos:R:3 pbc="T T T"
Mg 0.000 0.000 0.000
Tl 2.448 -1.362 4.022
Tl 3.752 2.666 1.466
Tl 2.666 6.476 -1.466
Tl 0.000 5.114 2.744
Tl 1.362 2.448 6.953
I 7.486 0.532 0.552
I 4.308 3.204 -1.930
I 0.532 2.742 -0.552
I 0.806 1.910 3.557
I 1.910 -0.806 7.417
I 4.582 2.372 4.936
I 3.204 5.920 1.930
I -2.372 4.582 6.039
```

Calculated values
raw formation energy	-0.6107	eV per atom
energy	-34.377	eV per cell
total magnetization	0.00	μB/atom
symmetry	I-4

---

# 4
## Sm7Er2Cd2 (PBE-GGA)

Data for Sm7Er2Cd2 after structural relaxation.

Cell and atoms, written as extended XYZ:
```
11
Lattice="4.385 -4.865 0.000 4.385 4.865 0.000 -2.922 0.000 8.068" Properties=species:S:1:pos:R:3 pbc="T T T"
Sm 0.000 0.000 0.000
Sm 0.240 1.718 6.664
Sm -0.040 0.000 3.360
Sm 0.240 -1.718 6.664
Sm 5.607 1.718 1.404
Sm 5.888 0.000 4.708
Sm 5.607 -1.718 1.404
Er 2.924 1.728 4.034
Er 2.924 -1.728 4.034
Cd 2.813 0.000 1.434
Cd 3.034 0.000 6.634
```

Calculated values
energy	-44.498	eV per cell
total magnetization	0.00	μB/atom
energy relative to the elements	-0.046	eV per atom
symmetry	C2/m

---

# 5
## BaLi12Bi6 (PBE-GGA)

Data for BaLi12Bi6 after structural relaxation.

Cell and atoms, written as extended XYZ:
```
19
Lattice="6.101 3.522 3.911 -6.101 3.522 3.911 0.000 -7.045 3.911" Properties=species:S:1:pos:R:3 pbc="T T T"
Ba 0.000 0.000 0.000
Li -2.315 -4.010 5.867
Li -4.630 0.000 5.867
Li -1.787 -1.032 4.659
Li 1.787 -1.032 4.659
Li 0.000 2.064 4.659
Li 2.315 -4.010 5.867
Li -2.315 4.010 5.867
Li 0.000 -2.064 7.074
Li -1.787 1.032 7.074
Li 1.787 1.032 7.074
Li 4.630 0.000 5.867
Li 2.315 4.010 5.867
Bi 0.000 -3.320 4.384
Bi -2.875 1.660 4.384
Bi -2.875 -1.660 7.349
Bi 2.875 1.660 4.384
Bi 2.875 -1.660 7.349
Bi 0.000 3.320 7.349
```

Calculated values
energy	-55.784	eV per cell
total magnetization	0.00	μB/atom
energy relative to the elements	-0.401	eV per atom
symmetry	R-3m

---

# 6
## CsSi2HgW (PBE-GGA)

Data for CsSi2HgW after structural relaxation.

Cell and atoms, written as extended XYZ:
```
5
Lattice="5.736 0.000 0.000 0.000 5.736 0.000 0.000 0.000 6.076" Properties=species:S:1:pos:R:3 pbc="T T T"
Cs 0.000 0.000 0.000
Si 0.000 2.868 0.000
Si 2.868 0.000 0.000
Hg 0.000 0.000 3.038
W 2.868 2.868 3.038
```

Calculated values
raw formation energy	2.8429	eV per atom
energy	-10.740	eV per cell
total magnetization	0.55	μB/atom
symmetry	P4/mmm

---

# 7
## MnNi2Pd8 (PBE-GGA)

Data for MnNi2Pd8 after structural relaxation.

Cell and atoms, written as extended XYZ:
```
11
Lattice="6.944 -1.960 0.000 6.944 1.960 0.000 -1.732 0.000 5.916" Properties=species:S:1:pos:R:3 pbc="T T T"
Mn 0.000 0.000 0.000
Ni 3.175 0.000 2.161
Ni 8.980 0.000 3.754
Pd 0.564 0.000 2.708
Pd 0.938 0.000 5.427
Pd 3.592 0.000 4.761
Pd 5.831 0.000 1.595
Pd 6.324 0.000 4.320
Pd 8.563 0.000 1.155
Pd 11.217 0.000 0.488
Pd 11.591 0.000 3.208
```

Calculated values
offset from the most stable computed form	0	meV per atom
energy	-62.937	eV per cell
total magnetization	0.74	μB/atom
energy relative to the elements	-0.060	eV per atom
symmetry	C2/m

---

# 8
## Tb6Tl2C (PBE-GGA)

Data for Tb6Tl2C after structural relaxation.

Cell and atoms, written as extended XYZ:
```
9
Lattice="8.749 0.000 0.000 -4.374 7.577 0.000 0.000 0.000 3.603" Properties=species:S:1:pos:R:3 pbc="T T T"
Tb -0.937 1.623 0.000
Tb -2.588 4.483 1.802
Tb 1.874 0.000 0.000
Tb 1.786 3.094 1.802
Tb 5.176 0.000 1.802
Tb 3.437 5.954 0.000
Tl 0.000 5.051 0.000
Tl 4.374 2.526 0.000
C 0.000 0.000 1.802
```

Calculated values
offset from the most stable computed form	189	meV per atom
energy	-43.073	eV per cell
total magnetization	0.00	μB/atom
energy relative to the elements	-0.148	eV per atom
symmetry	P-62m

---

# 9
## NdGdRuPt (PBE-GGA)

Data for NdGdRuPt after structural relaxation.

Cell and atoms, written as extended XYZ:
```
4
Lattice="0.000 3.520 3.520 3.520 0.000 3.520 3.520 3.520 0.000" Properties=species:S:1:pos:R:3 pbc="T T T"
Nd 0.000 0.000 0.000
Gd 3.520 3.520 3.520
Ru 1.760 1.760 1.760
Pt 5.280 5.280 5.280
```

Calculated values
energy	-36.665	eV per cell
total magnetization	1.73	μB/atom
energy relative to the elements	-0.625	eV per atom
symmetry	F-43m

---

# 10
## CdReOF2 (PBE-GGA)

Data for CdReOF2 after structural relaxation.

Cell and atoms, written as extended XYZ:
```
5
Lattice="4.263 0.000 0.000 0.000 4.263 0.000 0.000 0.000 4.520" Properties=species:S:1:pos:R:3 pbc="T T T"
Cd 0.000 0.000 0.000
Re 2.132 2.132 2.260
O 0.000 0.000 2.260
F 0.000 2.132 0.000
F 2.132 0.000 0.000
```

Calculated values
raw formation energy	-0.0472	eV per atom
offset from the most stable computed form	876	meV per atom
energy	-22.300	eV per cell
total magnetization	1.00	μB/atom
symmetry	P4/mmm

---

# 11
## AcGeSb (PBE-GGA)

Data for AcGeSb after structural relaxation.

Cell and atoms, written as extended XYZ:
```
6
Lattice="2.154 -6.018 0.000 2.154 6.018 0.000 0.000 0.000 6.930" Properties=species:S:1:pos:R:3 pbc="T T T"
Ac 2.154 4.166 5.198
Ac 2.154 -4.166 1.733
Ge 2.154 0.000 0.000
Ge 2.154 0.000 3.465
Sb 2.154 4.519 1.733
Sb 2.154 -4.519 5.198
```

Calculated values
raw formation energy	-0.6803	eV per atom
offset from the most stable computed form	77	meV per atom
energy	-29.778	eV per cell
total magnetization	0.00	μB/atom
symmetry	Cmcm

---

# 12
## CsB2H (PBE-GGA)

Data for CsB2H after structural relaxation.

Cell and atoms, written as extended XYZ:
```
4
Lattice="0.000 3.397 3.397 3.397 0.000 3.397 3.397 3.397 0.000" Properties=species:S:1:pos:R:3 pbc="T T T"
Cs 0.000 0.000 0.000
B 1.699 1.699 1.699
B 5.096 5.096 5.096
H 3.397 3.397 3.397
```

Calculated values
offset from the most stable computed form	835	meV per atom
energy	-7.084	eV per cell
total magnetization	0.00	μB/atom
symmetry	Fm-3m

---

# 13
## TlPb3W (PBE-GGA)

Data for TlPb3W after structural relaxation.

Cell and atoms, written as extended XYZ:
```
5
Lattice="5.458 0.000 0.000 0.000 5.458 0.000 0.000 0.000 5.458" Properties=species:S:1:pos:R:3 pbc="T T T"
Tl 0.000 0.000 0.000
Pb 0.000 2.729 2.729
Pb 2.729 0.000 2.729
Pb 2.729 2.729 0.000
W 2.729 2.729 2.729
```

Calculated values
offset from the most stable computed form	0	meV per atom
energy	-23.678	eV per cell
total magnetization	0.00	μB/atom
energy relative to the elements	0.553	eV per atom
symmetry	Pm-3m

---

# 14
## CeTlSn (PBE-GGA)

Data for CeTlSn after structural relaxation.

Cell and atoms, written as extended XYZ:
```
12
Lattice="5.716 0.000 0.000 -2.858 4.951 0.000 0.000 0.000 13.135" Properties=species:S:1:pos:R:3 pbc="T T T"
Ce 0.000 0.000 0.000
Ce 0.000 0.000 6.567
Ce 0.000 3.300 3.284
Ce 2.858 1.650 9.851
Tl 0.000 0.000 3.284
Tl 0.000 0.000 9.851
Tl 0.000 3.300 9.851
Tl 2.858 1.650 3.284
Sn 0.000 3.300 0.010
Sn 0.000 3.300 6.557
Sn 2.858 1.650 6.578
Sn 2.858 1.650 13.125
```

Calculated values
offset from the most stable computed form	315	meV per atom
energy	-49.998	eV per cell
total magnetization	0.05	μB/atom
energy relative to the elements	-0.066	eV per atom
symmetry	P6_3/mmc

---

# 15
## PPb (PBE-GGA)

Data for PPb after structural relaxation.

Cell and atoms, written as extended XYZ:
```
4
Lattice="-2.088 2.088 5.517 2.088 -2.088 5.517 2.088 2.088 -5.517" Properties=species:S:1:pos:R:3 pbc="T T T"
P 2.088 1.044 1.379
P 0.000 1.044 4.138
Pb 2.088 -1.044 4.138
Pb 0.000 3.132 1.379
```

Calculated values
energy	-16.377	eV per cell
total magnetization	0.00	μB/atom
energy relative to the elements	0.465	eV per atom
symmetry	I4_1/amd

---

# 16
## La2BeCl (PBE-GGA)

Data for La2BeCl after structural relaxation.

Cell and atoms, written as extended XYZ:
```
4
Lattice="0.000 3.659 3.659 3.659 0.000 3.659 3.659 3.659 0.000" Properties=species:S:1:pos:R:3 pbc="T T T"
La 1.830 1.830 1.830
La 5.489 5.489 5.489
Be 0.000 0.000 0.000
Cl 3.659 3.659 3.659
```

Calculated values
raw formation energy	-0.4063	eV per atom
offset from the most stable computed form	280	meV per atom
energy	-17.053	eV per cell
total magnetization	0.00	μB/atom
symmetry	Fm-3m

---

# 17
## BaCrPb (PBE-GGA)

Data for BaCrPb after structural relaxation.

Cell and atoms, written as extended XYZ:
```
3
Lattice="4.934 0.000 0.000 -2.467 4.273 0.000 0.000 0.000 4.871" Properties=species:S:1:pos:R:3 pbc="T T T"
Ba 0.000 0.000 0.000
Cr 2.467 1.424 2.436
Pb 0.000 2.848 2.436
```

Calculated values
offset from the most stable computed form	0	meV per atom
energy	-14.930	eV per cell
total magnetization	1.35	μB/atom
energy relative to the elements	0.108	eV per atom
symmetry	P-6m2

---

# 18
## KVRuCl6 (PBE-GGA)

Data for KVRuCl6 after structural relaxation.

Cell and atoms, written as extended XYZ:
```
9
Lattice="6.209 0.000 0.000 -3.105 5.378 0.000 0.000 0.000 7.209" Properties=species:S:1:pos:R:3 pbc="T T T"
K 0.000 0.000 0.000
V 0.000 3.585 3.605
Ru 3.105 1.793 3.605
Cl 2.236 0.015 4.968
Cl 1.131 1.929 2.242
Cl 3.973 0.015 2.242
Cl 2.000 3.433 4.968
Cl 5.078 1.929 4.968
Cl 4.210 3.433 2.242
```

Calculated values
raw formation energy	-1.0900	eV per atom
energy	-40.382	eV per cell
total magnetization	0.22	μB/atom
symmetry	P312

---

# 19
## NaGaBiPt2 (PBE-GGA)

Data for NaGaBiPt2 after structural relaxation.

Cell and atoms, written as extended XYZ:
```
5
Lattice="4.777 0.000 0.000 0.000 4.777 0.000 0.000 0.000 5.360" Properties=species:S:1:pos:R:3 pbc="T T T"
Na 0.000 0.000 0.000
Ga 2.389 2.389 2.680
Bi 2.389 2.389 0.000
Pt 0.000 2.389 2.680
Pt 2.389 0.000 2.680
```

Calculated values
energy	-19.267	eV per cell
total magnetization	0.00	μB/atom
energy relative to the elements	0.208	eV per atom
symmetry	P4/mmm

---

# 20
## LiNiAsBr2 (PBE-GGA)

Data for LiNiAsBr2 after structural relaxation.

Cell and atoms, written as extended XYZ:
```
5
Lattice="4.800 0.000 0.000 0.000 4.800 0.000 0.000 0.000 4.865" Properties=species:S:1:pos:R:3 pbc="T T T"
Li 0.000 0.000 0.000
Ni 2.400 2.400 2.432
As 0.000 0.000 2.432
Br 0.000 2.400 0.000
Br 2.400 0.000 0.000
```

Calculated values
raw formation energy	0.5238	eV per atom
offset from the most stable computed form	699	meV per atom
energy	-13.072	eV per cell
total magnetization	0.14	μB/atom
symmetry	P4/mmm